Record 1
Density functional theory data (GGA-PBE) for a relaxed Si2SeI2 crystal.

spin magnetization = 0.000 μB/atom
V = 31.00 Å³/atom
E above lowest polymorph = 0.000 eV/atom
theoretical density = 4.2 g cm⁻³
Fermi-level density of states = 0.56 states/eV per cell

a = 5.358 Å, b = 5.358 Å, c = 10.801 Å
α = 90.00°, β = 90.00°, γ = 90.00°
Space group I4/mmm (No. 139)
Asymmetric unit:
Si: 0.000 0.500 0.250 [4 per cell]
Se: 0.000 0.000 0.000 [2 per cell]
I: 0.000 0.000 0.340 [4 per cell]

=====

Record 2
Density functional theory data (GGA-PBE) for a relaxed SiSeI crystal.

spin magnetization = 0.000 μB/atom
V = 31.53 Å³/atom
uncorrected energy = -3.559 eV/atom
theoretical density = 4.1 g cm⁻³
Fermi-level density of states = 1.24 states/eV per cell

a = 3.709 Å, b = 4.147 Å, c = 12.483 Å
α = 82.57°, β = 83.59°, γ = 88.01°
Space group P1 (No. 1)
Asymmetric unit:
Si: 0.000 0.000 0.000 [1 per cell]
Si: 0.034 0.539 0.902 [1 per cell]
Se: 0.457 0.923 0.119 [1 per cell]
Se: 0.577 0.612 0.783 [1 per cell]
I: 0.153 0.203 0.349 [1 per cell]
I: 0.883 0.329 0.552 [1 per cell]

=====

Record 3
Density functional theory data (GGA-PBE) for a relaxed SiSeI3 crystal.

spin magnetization = 0.509 μB/atom
V = 35.26 Å³/atom
E above lowest polymorph = 0.000 eV/atom
theoretical density = 4.6 g cm⁻³
Fermi-level density of states = 5.41 states/eV per cell

a = 5.607 Å, b = 5.607 Å, c = 5.607 Å
α = 90.00°, β = 90.00°, γ = 90.00°
Space group Pm-3m (No. 221)
Asymmetric unit:
Si: 0.000 0.000 0.000 [1 per cell]
Se: 0.500 0.500 0.500 [1 per cell]
I: 0.000 0.000 0.500 [3 per cell]

=====

Record 4
Density functional theory data (GGA-PBE) for a relaxed Si2SeI2 crystal.

spin magnetization = 0.000 μB/atom
V = 30.03 Å³/atom
E above lowest polymorph = 0.058 eV/atom
theoretical density = 4.3 g cm⁻³
Fermi-level density of states = 4.11 states/eV per cell

a = 9.170 Å, b = 9.170 Å, c = 3.571 Å
α = 90.00°, β = 90.00°, γ = 90.00°
Space group P4/mbm (No. 127)
Asymmetric unit:
Si: 0.216 0.284 0.000 [4 per cell]
Se: 0.000 0.000 0.500 [2 per cell]
I: 0.130 0.630 0.500 [4 per cell]

=====

Record 5
Density functional theory data (GGA-PBE) for a relaxed Sm8Si3SeI4 crystal.

spin magnetization = 0.000 μB/atom
V = 30.04 Å³/atom
uncorrected energy = -5.041 eV/atom
theoretical density = 6.5 g cm⁻³
Fermi-level density of states = 19.98 states/eV per cell

a = 8.5568 Å, b = 8.5568 Å, c = 22.7409 Å
α = 90.00°, β = 90.00°, γ = 120.00°
Space group R-3m (No. 166, hexagonal axes)
Asymmetric unit:
Sm: 0.0000 0.0000 0.2316 [6 per cell]
Sm: 0.0103 0.5051 0.7688 [18 per cell]
Si: 0.0000 0.5000 0.5000 [9 per cell]
Se: 0.0000 0.0000 0.5000 [3 per cell]
I: 0.0000 0.0000 0.0000 [3 per cell]
I: 0.0000 0.5000 0.0000 [9 per cell]

=====

Record 6
Density functional theory data (GGA-PBE) for a relaxed TaSiSeI2 crystal.

spin magnetization = 0.305 μB/atom
V = 35.21 Å³/atom
uncorrected energy = -3.397 eV/atom
theoretical density = 5.1 g cm⁻³
Fermi-level density of states = 5.21 states/eV per cell

a = 6.041 Å, b = 6.041 Å, c = 4.823 Å
α = 90.00°, β = 90.00°, γ = 90.00°
Space group P4/mmm (No. 123)
Asymmetric unit:
Ta: 0.000 0.000 0.000 [1 per cell]
Si: 0.500 0.500 0.000 [1 per cell]
Se: 0.000 0.000 0.500 [1 per cell]
I: 0.000 0.500 0.500 [2 per cell]

=====

Please write out number 6 again, unchanged.
Density functional theory data (GGA-PBE) for a relaxed TaSiSeI2 crystal.

spin magnetization = 0.305 μB/atom
V = 35.21 Å³/atom
uncorrected energy = -3.397 eV/atom
theoretical density = 5.1 g cm⁻³
Fermi-level density of states = 5.21 states/eV per cell

a = 6.041 Å, b = 6.041 Å, c = 4.823 Å
α = 90.00°, β = 90.00°, γ = 90.00°
Space group P4/mmm (No. 123)
Asymmetric unit:
Ta: 0.000 0.000 0.000 [1 per cell]
Si: 0.500 0.500 0.000 [1 per cell]
Se: 0.000 0.000 0.500 [1 per cell]
I: 0.000 0.500 0.500 [2 per cell]

=====

Copy entry 1 word for word.
Density functional theory data (GGA-PBE) for a relaxed Si2SeI2 crystal.

spin magnetization = 0.000 μB/atom
V = 31.00 Å³/atom
E above lowest polymorph = 0.000 eV/atom
theoretical density = 4.2 g cm⁻³
Fermi-level density of states = 0.56 states/eV per cell

a = 5.358 Å, b = 5.358 Å, c = 10.801 Å
α = 90.00°, β = 90.00°, γ = 90.00°
Space group I4/mmm (No. 139)
Asymmetric unit:
Si: 0.000 0.500 0.250 [4 per cell]
Se: 0.000 0.000 0.000 [2 per cell]
I: 0.000 0.000 0.340 [4 per cell]

=====

> Number 5 is which compound?

Sm8Si3SeI4